Record 1
The following is a DFT calculation (PBE-GGA) of crystalline Cu2SiS3 at its relaxed geometry.

Summary:
The calculation puts the formation energy from raw total energies at -0.44 eV/atom. As for the magnetization: 0.000 μB per atom. For the total energy, the calculation gives -4.773 eV per atom.

Unit cell a=7.424 b=22.361 c=10.319 alpha=90.00 beta=90.00 gamma=90.00
Space group Fdd2 (No. 43)
Inequivalent atoms, fractional coordinates:
Cu 0.000 0.000 0.000
Cu 0.000 0.000 0.494
Cu 0.007 0.171 0.494
Si 0.018 0.334 0.496
S 0.004 0.243 0.877
S 0.009 0.085 0.372
S 0.012 0.415 0.366

Record 2
The following is a DFT calculation (PBE-GGA) of crystalline SmDy6Tm12 at its relaxed geometry.

Summary:
As for the formation energy: 0.16 eV per atom. Its density of states at the Fermi level is 29.7 states/eV/f.u. As for the magnetization: 0.000 μB per atom. For the total energy, the calculation gives -4.362 eV per atom.

Unit cell a=11.7582 b=11.7582 c=15.0403 alpha=90.00 beta=90.00 gamma=120.00
Space group R-3 (No. 148, hexagonal axes)
Inequivalent atoms, fractional coordinates:
Sm 0.0000 0.0000 0.0000
Dy 0.0075 0.4210 0.6753
Tm 0.0251 0.8399 0.1922
Tm 0.0385 0.8523 0.4153